{
  "formula": "Ac3Ho2Cd2",
  "functional": "GGA-PBE",
  "state": "relaxed",
  "cell": [[-4.963, -1.751, -0.797], [-0.430, -0.461, 3.691], [-6.635, 10.473, 0.535]],
  "species": ["Ac", "Ac", "Ho", "Cd", "Ho", "Cd", "Ac"],
  "frac_coords": [[0.150, 0.000, 0.699], [0.000, 0.000, 0.000], [0.287, 0.500, 0.427], [0.427, 0.500, 0.146], [0.713, 0.500, 0.573], [0.573, 0.500, 0.854], [0.850, 0.000, 0.301]],
  "total_energy_ha_per_atom": -0.123,
  "magnetic_moment_mub_per_cell": 0.002,
  "formation_enthalpy_0k_mev_per_atom": -17,
  "sg": "No. 65"
}